## Nd3Ge2SbRh9 (PBE)

Data for crystalline Nd3Ge2SbRh9 at its relaxed geometry.

The structure belongs to space group P-3m1 (No. 164); the cell edges are 6.3373, 6.3373 and 9.2008 Å and the angles 90.00°, 90.00° and 120.00°. Symmetry generates all atoms from Nd at (0.0000, 0.0000, 0.0000), Nd at (0.3333, 0.6667, 0.7306), Ge at (0.3333, 0.6667, 0.1700), Sb at (0.0000, 0.0000, 0.5000), Rh at (0.0000, 0.5000, 0.0000) and Rh at (0.1416, 0.2831, 0.2727).

The magnetic moment comes out at 0.00 μB per formula unit. The formation energy without anion corrections is -38.76 kJ/mol of atoms.